Material: KHgW2
Method: DFT, PBE-GGA
State: optimized geometry

Cell: 2.7494 4.0040 8.5359 Å, 90.00 90.00 90.00°
Closest atoms and distances in Å follow each position.
Sites, in units of the cell vectors:
Hg 0.0000 0.0000 0.4443  2 Hg 2.75, 4 W 3.05
W 0.5000 0.5000 0.2290  6 W 2.75-2.76, 4 Hg 3.05
W 0.0000 0.0000 0.0765  6 W 2.75-2.76
K 0.5000 0.5000 0.7502  2 K 2.75

Properties
Crystal system: orthorhombic
Energy of formation (meV/atom): 855
SG: No. 25